Entry from Alexandria via LeMat-Bulk: a relaxed structure of Nd2ZnSi4Rh3 (PBE).

The structure belongs to space group P-4m2 (No. 115); the cell edges are 4.1905, 4.1905 and 9.9990 Å and the angles 90.00°, 90.00° and 90.00°. The asymmetric unit holds Nd at (0.0000, 0.5000, 0.2449), Zn at (0.0000, 0.0000, 0.5000), Si at (0.0000, 0.0000, 0.0000), Si at (0.0000, 0.5000, 0.6384), Si at (0.5000, 0.5000, 0.0000), Rh at (0.0000, 0.5000, 0.8790) and Rh at (0.5000, 0.5000, 0.5000).

As for the energy relative to the elements, uncorrected: -84.7 kJ per mole of atoms.

Entry from Alexandria via LeMat-Bulk: a relaxed structure of NdZn2SiRh4 (PBE).

The structure belongs to space group R-3m (No. 166, hexagonal axes); the cell edges are 4.3442, 4.3442 and 23.2524 Å and the angles 90.00°, 90.00° and 120.00°. The asymmetric unit holds Nd at (0.0000, 0.0000, 0.0000), Zn at (0.0000, 0.0000, 0.2466), Si at (0.0000, 0.0000, 0.5000), Rh at (0.0000, 0.0000, 0.1336) and Rh at (0.0000, 0.0000, 0.3994).

As for the energy relative to the elements, uncorrected: -60.0 kJ per mole of atoms.

Entry from Alexandria via LeMat-Bulk: a relaxed structure of NdZn2SiRh (PBE).

The structure belongs to space group Imm2 (No. 44); the cell edges are 3.9566, 4.2107 and 10.8575 Å and the angles 90.00°, 90.00° and 90.00°. The asymmetric unit holds Nd at (0.0000, 0.0000, 0.0000), Zn at (0.0000, 0.0000, 0.6165), Zn at (0.0000, 0.5000, 0.2590), Si at (0.0000, 0.0000, 0.3864) and Rh at (0.0000, 0.5000, 0.7629).

As for the energy relative to the elements, uncorrected: -54.9 kJ per mole of atoms.

Entry from Alexandria via LeMat-Bulk: a relaxed structure of Nd4SmRh4 (PBE).

The structure belongs to space group P4_2/n (No. 86, origin choice 2); the cell edges are 8.9913, 8.9913 and 5.8000 Å and the angles 90.00°, 90.00° and 90.00°. The asymmetric unit holds Nd at (0.0623, 0.6644, 0.1625), Sm at (0.2500, 0.2500, 0.2500) and Rh at (0.0270, 0.6278, 0.6552).

For the calculated formation energy, the calculation gives -5.058 eV per formula unit.

Entry from Alexandria via LeMat-Bulk: a relaxed structure of NdSm2Rh (PBE).

The structure belongs to space group Cmcm (No. 63); the cell edges are 3.8818, 12.1572 and 9.7951 Å and the angles 90.00°, 90.00° and 90.00°. The asymmetric unit holds Nd at (0.0000, 0.0791, 0.2500), Sm at (0.0000, 0.3602, 0.0682) and Rh at (0.0000, 0.2368, 0.7500).

For the calculated formation energy, the calculation gives -1.669 eV per formula unit. The calculation puts the relative energy among the computed polymorphs at 0.0304 eV/atom.

Entry from Alexandria via LeMat-Bulk: a relaxed structure of Nd7SmRh2 (PBE).

The structure belongs to space group Cmmm (No. 65); the cell edges are 8.9457, 14.5995 and 5.4535 Å and the angles 90.00°, 90.00° and 90.00°. The asymmetric unit holds Nd at (0.0000, 0.0000, 0.0000), Nd at (0.0000, 0.2098, 0.5000), Nd at (0.1886, 0.3677, 0.0000), Sm at (0.0000, 0.5000, 0.5000) and Rh at (0.0000, 0.1987, 0.0000).

For the calculated formation energy, the calculation gives -0.817 eV per formula unit.

Entry from Alexandria via LeMat-Bulk: a relaxed structure of NdSmRh (PBE).

The structure belongs to space group I4mm (No. 107); the cell edges are 3.5460, 3.5460 and 13.0895 Å and the angles 90.00°, 90.00° and 90.00°. The asymmetric unit holds Nd at (0.0000, 0.0000, 0.0000), Sm at (0.0000, 0.0000, 0.2559) and Rh at (0.0000, 0.0000, 0.6316).

For the calculated formation energy, the calculation gives -1.308 eV per formula unit. The calculation puts the relative energy among the computed polymorphs at 0.0964 eV/atom.

Entry from Alexandria via LeMat-Bulk: a relaxed structure of NdSmRh (PBE).

The structure belongs to space group F-43m (No. 216); the cell edges are 6.9667, 6.9667 and 6.9667 Å and the angles 90.00°, 90.00° and 90.00°. The asymmetric unit holds Nd at (0.0000, 0.0000, 0.0000), Sm at (0.0000, 0.0000, 0.5000) and Rh at (0.2500, 0.2500, 0.2500).

For the calculated formation energy, the calculation gives -1.408 eV per formula unit. The calculation puts the relative energy among the computed polymorphs at 0.0630 eV/atom.

Entry from Alexandria via LeMat-Bulk: a relaxed structure of NdSm2Rh (PBE).

The structure belongs to space group Pnma (No. 62); the cell edges are 7.3012, 9.8179 and 6.4665 Å and the angles 90.00°, 90.00° and 90.00°. The asymmetric unit holds Nd at (0.0352, 0.2500, 0.1421), Sm at (0.1759, 0.0654, 0.6692) and Rh at (0.1197, 0.7500, 0.4302).

For the calculated formation energy, the calculation gives -1.790 eV per formula unit. The calculation puts the relative energy among the computed polymorphs at 0.0000 eV/atom.

Entry from Alexandria via LeMat-Bulk: a relaxed structure of NdSmRh (PBE).

The structure belongs to space group P3m1 (No. 156); the cell edges are 4.1126, 4.1126 and 6.3672 Å and the angles 90.00°, 90.00° and 120.00°. The asymmetric unit holds Nd at (0.0000, 0.0000, 0.0000), Sm at (0.3333, 0.6667, 0.5230) and Rh at (0.6667, 0.3333, 0.7575).

For the calculated formation energy, the calculation gives -1.373 eV per formula unit. The calculation puts the relative energy among the computed polymorphs at 0.0748 eV/atom.

Entry from Alexandria via LeMat-Bulk: a relaxed structure of NdSm2Rh (PBE).

The structure belongs to space group P4/mmm (No. 123); the cell edges are 3.5788, 3.5788 and 8.8387 Å and the angles 90.00°, 90.00° and 90.00°. The asymmetric unit holds Nd at (0.0000, 0.0000, 0.0000), Sm at (0.5000, 0.5000, 0.3124) and Rh at (0.0000, 0.0000, 0.5000).

For the calculated formation energy, the calculation gives -1.328 eV per formula unit. The calculation puts the relative energy among the computed polymorphs at 0.1156 eV/atom.

Entry from Alexandria via LeMat-Bulk: a relaxed structure of NdSm3Rh8 (PBE).

The structure belongs to space group R3m (No. 160, hexagonal axes); the cell edges are 5.3941, 5.3941 and 26.4376 Å and the angles 90.00°, 90.00° and 120.00°. The asymmetric unit holds Nd at (0.0000, 0.0000, 0.0000), Sm at (0.0000, 0.0000, 0.1253), Sm at (0.0000, 0.0000, 0.4998), Sm at (0.0000, 0.0000, 0.6249), Rh at (0.0000, 0.0000, 0.3125), Rh at (0.0000, 0.0000, 0.8125), Rh at (0.0001, 0.5001, 0.0628) and Rh at (0.9997, 0.4999, 0.5622).

For the calculated formation energy, the calculation gives -8.222 eV per formula unit.

no.,volume (Å³ per cell),magnetization (μB per formula unit)
1,175.6,0.00
2,380.0,0.00
3,180.9,0.00
4,468.9,0.00
5,462.2,0.00
6,712.2,0.05
7,164.6,0.00
8,338.1,0.00
9,463.5,0.00
10,93.3,0.00
11,113.2,0.00
12,666.2,0.00